--- w ---
First-principles (PBE) data for a geometry-optimized Pr2GaS structure, as listed in Alexandria via LeMat-Bulk.

Lattice parameters (Å, degrees): 3.993 3.993 8.226 75.95 75.95 60.00
Positions (direct):
Pr: 0.073 0.073 0.780
Ga: 0.499 0.499 0.503
S: 0.668 0.668 0.996
Pr: 0.260 0.260 0.221

density	5.8	g/cm3



--- x ---
First-principles (PBE) data for a geometry-optimized Pr2GaS structure, as listed in Alexandria via LeMat-Bulk.

Lattice parameters (Å, degrees): 4.085 4.085 7.806 74.83 74.83 60.00
Positions (direct):
S: 0.000 0.000 0.000
Pr: 0.744 0.744 0.768
Pr: 0.256 0.256 0.232
Ga: 0.500 0.500 0.500

density	5.9	g/cm3



--- y ---
First-principles (PBE) data for a geometry-optimized Pr2GaS structure, as listed in Alexandria via LeMat-Bulk.

Lattice parameters (Å, degrees): 4.128 4.306 11.869 100.45 90.00 90.00
Positions (direct):
Pr: 0.250 0.314 0.628
Pr: 0.250 0.070 0.139
Pr: 0.750 0.686 0.372
Ga: 0.250 0.463 0.927
S: 0.750 0.808 0.616
Pr: 0.750 0.930 0.861
S: 0.250 0.192 0.384
Ga: 0.750 0.537 0.073

density	6.1	g/cm3



The most stable of them is y.



--- w ---
First-principles (PBE) data for a geometry-optimized Pr4GaSb structure, as listed in Alexandria via LeMat-Bulk.

Lattice parameters (Å, degrees): 6.247 8.727 8.414 113.58 101.86 108.64
Positions (direct):
Pr: 0.728 0.384 0.164
Sb: 0.631 0.381 0.762
Pr: 0.064 0.220 0.836
Pr: 0.640 0.077 0.368
Pr: 0.771 0.709 0.632
Pr: 0.229 0.291 0.368
Pr: 0.272 0.616 0.836
Ga: 0.749 0.999 0.999
Sb: 0.369 0.619 0.238
Pr: 0.360 0.923 0.632
Ga: 0.251 0.001 0.001
Pr: 0.936 0.780 0.164

density	6.8	g/cm3



--- x ---
First-principles (PBE) data for a geometry-optimized Pr4GaSb structure, as listed in Alexandria via LeMat-Bulk.

Lattice parameters (Å, degrees): 10.256 10.256 10.256 60.00 60.00 60.00
Positions (direct):
Ga: 0.555 0.148 0.148
Pr: 0.368 0.368 0.896
Pr: 0.195 0.805 0.195
Pr: 0.941 0.559 0.941
Pr: 0.896 0.368 0.368
Pr: 0.195 0.805 0.805
Pr: 0.805 0.195 0.805
Pr: 0.368 0.896 0.368
Pr: 0.559 0.559 0.941
Ga: 0.148 0.148 0.555
Pr: 0.559 0.941 0.559
Sb: 0.597 0.597 0.597
Pr: 0.941 0.941 0.559
Sb: 0.597 0.210 0.597
Sb: 0.597 0.597 0.210
Pr: 0.941 0.559 0.559
Sb: 0.210 0.597 0.597
Pr: 0.805 0.195 0.195
Pr: 0.368 0.368 0.368
Pr: 0.195 0.195 0.805
Pr: 0.559 0.941 0.941
Pr: 0.805 0.805 0.195
Ga: 0.148 0.148 0.148
Ga: 0.148 0.555 0.148

density	6.6	g/cm3



The most stable of them is w.



--- w ---
First-principles (PBE) data for a geometry-optimized PrScGa2 structure, as listed in Alexandria via LeMat-Bulk.

Lattice parameters (Å, degrees): 3.547 3.547 7.065 90.00 90.00 90.00
Positions (direct):
Pr: 0.500 0.500 0.500
Ga: 0.000 0.000 0.787
Sc: 0.500 0.500 0.000
Ga: 0.000 0.000 0.213

density	6.1	g/cm3



--- x ---
First-principles (PBE) data for a geometry-optimized PrScGa2 structure, as listed in Alexandria via LeMat-Bulk.

Lattice parameters (Å, degrees): 3.594 3.594 8.964 78.43 78.43 60.00
Positions (direct):
Ga: 0.743 0.743 0.772
Sc: 0.000 0.000 0.000
Pr: 0.500 0.500 0.500
Ga: 0.257 0.257 0.228

density	5.5	g/cm3



--- y ---
First-principles (PBE) data for a geometry-optimized PrScGa2 structure, as listed in Alexandria via LeMat-Bulk.

Lattice parameters (Å, degrees): 4.172 8.252 11.082 90.00 90.00 90.00
Positions (direct):
Ga: 0.750 0.759 0.439
Ga: 0.750 0.850 0.828
Pr: 0.250 0.140 0.860
Pr: 0.750 0.360 0.360
Ga: 0.250 0.741 0.939
Pr: 0.250 0.640 0.640
Ga: 0.250 0.650 0.328
Sc: 0.250 0.986 0.388
Ga: 0.750 0.259 0.061
Pr: 0.750 0.860 0.140
Sc: 0.250 0.486 0.112
Ga: 0.250 0.150 0.172
Ga: 0.750 0.350 0.672
Sc: 0.750 0.014 0.612
Ga: 0.250 0.241 0.561
Sc: 0.750 0.514 0.888

density	5.7	g/cm3



The most stable of them is w.



--- w ---
First-principles (PBE) data for a geometry-optimized PrSc2Ga structure, as listed in Alexandria via LeMat-Bulk.

Lattice parameters (Å, degrees): 3.379 3.379 8.521 90.00 90.00 90.00
Positions (direct):
Ga: 0.500 0.500 0.000
Pr: 0.500 0.500 0.500
Sc: 0.000 0.000 0.801
Sc: 0.000 0.000 0.199

density	5.1	g/cm3



--- x ---
First-principles (PBE) data for a geometry-optimized PrSc2Ga structure, as listed in Alexandria via LeMat-Bulk.

Lattice parameters (Å, degrees): 3.336 3.336 10.883 81.19 81.19 60.00
Positions (direct):
Sc: 0.898 0.898 0.307
Ga: 0.500 0.500 0.500
Pr: 0.000 0.000 0.000
Sc: 0.102 0.102 0.693

density	4.8	g/cm3



The most stable of them is w.



--- w ---
First-principles (PBE) data for a geometry-optimized Pr2Sc3Ga4 structure, as listed in Alexandria via LeMat-Bulk.

Lattice parameters (Å, degrees): 7.463 7.711 7.695 90.00 90.00 108.11
Positions (direct):
Ga: 0.873 0.499 0.121
Sc: 0.500 0.500 0.000
Ga: 0.127 0.501 0.879
Ga: 0.373 0.499 0.379
Pr: 0.073 0.192 0.174
Sc: 0.000 0.500 0.500
Pr: 0.573 0.192 0.326
Ga: 0.370 0.082 0.962
Sc: 0.251 0.751 0.174
Ga: 0.627 0.501 0.621
Ga: 0.870 0.082 0.538
Pr: 0.927 0.808 0.826
Sc: 0.249 0.249 0.674
Sc: 0.749 0.249 0.826
Ga: 0.630 0.918 0.038
Sc: 0.751 0.751 0.326
Pr: 0.427 0.808 0.674
Ga: 0.130 0.918 0.462

density	5.5	g/cm3



--- x ---
First-principles (PBE) data for a geometry-optimized Pr2Sc3Ga4 structure, as listed in Alexandria via LeMat-Bulk.

Lattice parameters (Å, degrees): 6.530 8.247 8.519 90.00 112.53 90.00
Positions (direct):
Sc: 0.533 0.750 0.566
Pr: 0.391 0.083 0.782
Pr: 0.109 0.583 0.218
Ga: 0.817 0.040 0.634
Pr: 0.609 0.917 0.218
Ga: 0.708 0.750 0.917
Ga: 0.683 0.540 0.366
Ga: 0.292 0.250 0.083
Sc: 0.467 0.250 0.434
Sc: 0.000 0.000 0.000
Pr: 0.891 0.417 0.782
Sc: 0.033 0.750 0.566
Ga: 0.183 0.960 0.366
Sc: 0.967 0.250 0.434
Ga: 0.317 0.460 0.634
Sc: 0.500 0.500 0.000
Ga: 0.792 0.250 0.083
Ga: 0.208 0.750 0.917

density	5.5	g/cm3



The most stable of them is w.



--- w ---
First-principles (PBE) data for a geometry-optimized PrSc3Ga2 structure, as listed in Alexandria via LeMat-Bulk.

Lattice parameters (Å, degrees): 4.664 6.325 9.307 90.00 90.00 90.00
Positions (direct):
Ga: 0.500 0.714 0.877
Sc: 0.000 0.334 0.291
Ga: 0.500 0.214 0.123
Ga: 0.000 0.778 0.349
Sc: 0.500 0.663 0.177
Ga: 0.000 0.278 0.651
Pr: 0.500 0.555 0.550
Sc: 0.000 0.455 0.951
Sc: 0.500 0.163 0.823
Sc: 0.000 0.955 0.049
Sc: 0.000 0.834 0.709
Pr: 0.500 0.055 0.450

density	5.0	g/cm3



--- x ---
First-principles (PBE) data for a geometry-optimized PrSc3Ga2 structure, as listed in Alexandria via LeMat-Bulk.

Lattice parameters (Å, degrees): 4.481 8.759 8.874 120.33 90.00 104.82
Positions (direct):
Ga: 0.501 0.001 0.146
Sc: 0.999 0.997 0.667
Ga: 0.499 0.999 0.854
Pr: 0.129 0.258 0.128
Sc: 0.670 0.339 0.477
Sc: 0.332 0.664 0.142
Ga: 0.802 0.603 0.302
Ga: 0.198 0.397 0.698
Pr: 0.871 0.742 0.872
Sc: 0.668 0.336 0.858
Sc: 0.001 0.003 0.333
Sc: 0.330 0.661 0.523

density	4.8	g/cm3



The most stable of them is w.